1.
The following is a GGA-PBE calculation of crystalline Zr3TaP at its relaxed geometry, from Alexandria via LeMat-Bulk.

- space-group type = Pm-3m (221)
- crystal system = cubic
- energy relative to the elements (eV/f.u.) = 5.45
- energy above the most stable polymorph in this dataset (eV/atom) = 1.132

Cell: 5.086 5.086 5.086 Å, 90.00 90.00 90.00°
Element x y z (fractional)
Zr: 0.000 0.000 0.500
Zr: 0.000 0.500 0.000
Zr: 0.500 0.000 0.000
Ta: 0.000 0.000 0.000
P: 0.500 0.500 0.500

---

2.
The following is a GGA-PBE calculation of crystalline NbNi3Rh at its relaxed geometry, from Alexandria via LeMat-Bulk.

- space-group type = Cmcm (63)
- crystal system = orthorhombic
- energy relative to the elements (eV/f.u.) = -0.83
- energy above the most stable polymorph in this dataset (eV/atom) = 0.000

Cell: 6.226 6.226 5.189 Å, 90.00 90.00 139.34°
Element x y z (fractional)
Nb: 0.110 0.890 0.750
Nb: 0.890 0.110 0.250
Ni: 0.313 0.687 0.505
Ni: 0.313 0.687 0.995
Ni: 0.496 0.504 0.750
Ni: 0.504 0.496 0.250
Ni: 0.687 0.313 0.005
Ni: 0.687 0.313 0.495
Rh: 0.123 0.877 0.250
Rh: 0.877 0.123 0.750

---

3.
The following is a GGA-PBE calculation of crystalline Rb4Nd3TmSe8 at its relaxed geometry, from Alexandria via LeMat-Bulk.

- energy relative to the elements, uncorrected (eV per atom) = -1.73
- space-group type = R-3m (166)
- crystal system = trigonal

Cell: 9.450 9.450 9.450 Å, 54.59 54.59 54.59°
Element x y z (fractional)
Rb: 0.000 0.000 0.000
Rb: 0.000 0.500 0.500
Rb: 0.500 0.000 0.500
Rb: 0.500 0.500 0.000
Nd: 0.000 0.000 0.500
Nd: 0.000 0.500 0.000
Nd: 0.500 0.000 0.000
Tm: 0.500 0.500 0.500
Se: 0.234 0.234 0.234
Se: 0.242 0.728 0.728
Se: 0.272 0.272 0.758
Se: 0.272 0.758 0.272
Se: 0.728 0.242 0.728
Se: 0.728 0.728 0.242
Se: 0.758 0.272 0.272
Se: 0.766 0.766 0.766

---

4.
The following is a GGA-PBE calculation of crystalline YTlHg3 at its relaxed geometry, from Alexandria via LeMat-Bulk.

- space-group type = Pm-3m (221)
- crystal system = cubic
- energy relative to the elements (eV/f.u.) = 2.20
- energy above the most stable polymorph in this dataset (eV/atom) = 0.630

Cell: 5.508 5.508 5.508 Å, 90.00 90.00 90.00°
Element x y z (fractional)
Y: 0.000 0.000 0.000
Tl: 0.500 0.500 0.500
Hg: 0.000 0.500 0.500
Hg: 0.500 0.000 0.500
Hg: 0.500 0.500 0.000

---

5.
The following is a GGA-PBE calculation of crystalline NaPd2C at its relaxed geometry, from Alexandria via LeMat-Bulk.

- space-group type = I4_1/amd (141)
- crystal system = tetragonal
- energy relative to the elements (eV/f.u.) = 1.65

Cell: 6.841 6.841 6.841 Å, 132.86 132.86 68.87°
Element x y z (fractional)
Na: 0.375 0.625 0.750
Na: 0.625 0.375 0.250
Pd: 0.000 0.000 0.000
Pd: 0.000 0.000 0.500
Pd: 0.000 0.500 0.000
Pd: 0.500 0.000 0.500
C: 0.125 0.875 0.250
C: 0.875 0.125 0.750

---

6.
The following is a GGA-PBE calculation of crystalline MgN3F at its relaxed geometry, from Alexandria via LeMat-Bulk.

- energy relative to the elements, uncorrected (eV per atom) = 2.27
- space-group type = Pm-3m (221)
- crystal system = cubic

Cell: 3.643 3.643 3.643 Å, 90.00 90.00 90.00°
Element x y z (fractional)
Mg: 0.000 0.000 0.000
N: 0.000 0.500 0.500
N: 0.500 0.000 0.500
N: 0.500 0.500 0.000
F: 0.500 0.500 0.500

---

7.
The following is a GGA-PBE calculation of crystalline TcPd3N at its relaxed geometry, from Alexandria via LeMat-Bulk.

- energy relative to the elements, uncorrected (eV per atom) = 2.18
- space-group type = Pm-3m (221)
- crystal system = cubic
- energy above the most stable polymorph in this dataset (eV/atom) = 1.530

Cell: 4.806 4.806 4.806 Å, 90.00 90.00 90.00°
Element x y z (fractional)
Tc: 0.000 0.000 0.000
Pd: 0.000 0.000 0.500
Pd: 0.000 0.500 0.000
Pd: 0.500 0.000 0.000
N: 0.500 0.500 0.500

---

8.
The following is a GGA-PBE calculation of crystalline AlCdIO2 at its relaxed geometry, from Alexandria via LeMat-Bulk.

- energy relative to the elements, uncorrected (eV per atom) = -0.87
- space-group type = P4/mmm (123)
- crystal system = tetragonal
- energy above the most stable polymorph in this dataset (eV/atom) = 0.000

Cell: 3.866 3.866 5.968 Å, 90.00 90.00 90.00°
Element x y z (fractional)
Al: 0.000 0.000 0.000
Cd: 0.500 0.500 0.500
I: 0.000 0.000 0.500
O: 0.000 0.500 0.000
O: 0.500 0.000 0.000

---

9.
The following is a GGA-PBE calculation of crystalline Hf2ZnPbC at its relaxed geometry, from Alexandria via LeMat-Bulk.

- space-group type = P4/mmm (123)
- crystal system = tetragonal
- energy relative to the elements (eV/f.u.) = 1.12

Cell: 4.421 4.421 5.088 Å, 90.00 90.00 90.00°
Element x y z (fractional)
Hf: 0.000 0.500 0.000
Hf: 0.500 0.000 0.000
Zn: 0.000 0.000 0.500
Pb: 0.500 0.500 0.500
C: 0.500 0.500 0.000

---

10.
The following is a GGA-PBE calculation of crystalline Mg7Ag2Pt2 at its relaxed geometry, from Alexandria via LeMat-Bulk.

- space-group type = Cmmm (65)
- crystal system = orthorhombic
- energy relative to the elements (eV/f.u.) = -3.35

Cell: 6.205 6.205 6.370 Å, 90.00 90.00 100.03°
Element x y z (fractional)
Mg: 0.000 0.000 0.000
Mg: 0.000 0.500 0.260
Mg: 0.000 0.500 0.740
Mg: 0.500 0.000 0.260
Mg: 0.500 0.000 0.740
Mg: 0.500 0.500 0.254
Mg: 0.500 0.500 0.746
Ag: 0.180 0.180 0.500
Ag: 0.820 0.820 0.500
Pt: 0.278 0.722 0.000
Pt: 0.722 0.278 0.000

---

11.
The following is a GGA-PBE calculation of crystalline Th2SiRh6 at its relaxed geometry, from Alexandria via LeMat-Bulk.

- energy relative to the elements, uncorrected (eV per atom) = -0.83
- space-group type = C2/m (12)
- crystal system = monoclinic
- energy above the most stable polymorph in this dataset (eV/atom) = 0.101

Cell: 5.728 5.728 5.602 Å, 90.07 90.07 60.00°
Element x y z (fractional)
Th: 0.166 0.166 0.306
Th: 0.834 0.834 0.694
Si: 0.500 0.500 0.500
Rh: 0.158 0.670 0.201
Rh: 0.330 0.330 0.798
Rh: 0.330 0.842 0.799
Rh: 0.670 0.158 0.201
Rh: 0.670 0.670 0.202
Rh: 0.842 0.330 0.799

---

12.
The following is a GGA-PBE calculation of crystalline Co2IrSe at its relaxed geometry, from Alexandria via LeMat-Bulk.

- energy relative to the elements, uncorrected (eV per atom) = 0.39
- space-group type = P2/m (10)
- crystal system = monoclinic

Cell: 4.349 2.847 4.532 Å, 90.00 106.93 90.00°
Element x y z (fractional)
Co: 0.000 0.000 0.000
Co: 0.000 0.500 0.500
Ir: 0.500 0.000 0.500
Se: 0.500 0.500 0.000

---

13.
The following is a GGA-PBE calculation of crystalline Li2TeAsCl at its relaxed geometry, from Alexandria via LeMat-Bulk.

- energy relative to the elements, uncorrected (eV per atom) = -0.49
- space-group type = P4/mmm (123)
- crystal system = tetragonal

Cell: 4.548 4.548 5.569 Å, 90.00 90.00 90.00°
Element x y z (fractional)
Li: 0.000 0.500 0.000
Li: 0.500 0.000 0.000
Te: 0.000 0.000 0.500
As: 0.500 0.500 0.500
Cl: 0.500 0.500 0.000

---

no.,calculated volume (Å³ per cell),E_tot (eV for the cell shown)
1,131.6,-37.46
2,131.0,-71.19
3,521.5,-78.16
4,167.1,-7.54
5,168.9,-38.57
6,48.3,-17.07
7,111.0,-23.36
8,89.2,-20.46
9,99.4,-33.00
10,241.5,-32.30
11,159.2,-71.83
12,53.7,-25.02
13,115.2,-15.91